Li2DyAlS4, relaxed, DFT PBE; crystal system = orthorhombic; D(E_F) = 0.00 states/eV per cell; DFT total energy = -80.949 eV per cell
1.0
-2.7369 -6.5108 -2.4139
3.2665 -3.5231 5.7120
-4.6088 6.0302 1.1878
Li Dy Al S
4 2 2 8
direct
0.5000 0.0000 0.0000
0.5000 0.0000 0.5000
0.0000 0.0000 0.5000
0.5000 0.5000 0.0000
0.0000 0.5000 0.0000
0.0000 0.5000 0.5000
0.5000 0.5000 0.5000
0.0000 0.0000 0.0000
0.2510 0.7669 0.0090
0.7331 0.2490 0.4910
0.2669 0.7510 0.5090
0.7490 0.2331 0.9910
0.7437 0.7562 0.9691
0.7438 0.7563 0.5309
0.2562 0.2437 0.4691
0.2563 0.2438 0.0309


Li3Dy3AlSe8, relaxed, DFT PBE; crystal system = trigonal; D(E_F) = 7.87 states/eV per cell; DFT total energy = -72.527 eV per cell
1.0
-0.3312 6.7429 4.3332
-4.8341 -0.9397 -6.3331
-1.1189 -4.2787 6.5723
Li Dy Al Se
3 3 1 8
direct
0.0000 0.0000 0.0000
0.0000 0.5000 0.0000
0.5000 0.5000 0.0000
0.5000 0.0000 0.5000
0.5000 0.5000 0.5000
0.0000 0.5000 0.5000
0.0000 0.0000 0.5000
0.2476 0.4952 0.2430
0.7524 0.5048 0.7570
0.7666 0.5332 0.2605
0.2334 0.4668 0.7395
0.7666 0.9938 0.2605
0.2334 0.0062 0.7395
0.2271 0.9938 0.2605
0.7729 0.0062 0.7395


Li2DyAlSe4, relaxed, DFT PBE; crystal system = orthorhombic; DFT total energy = -73.123 eV per cell
1.0
7.8395 0.0063 -0.1770
0.0008 7.8395 -0.1770
-3.9853 -3.9881 5.7271
Li Dy Al Se
4 2 2 8
direct
0.5000 0.0000 0.0000
0.5000 0.0000 0.5000
0.0000 0.0000 0.5000
0.5000 0.5000 0.0000
0.0000 0.5000 0.0000
0.0000 0.5000 0.5000
0.5000 0.5000 0.5000
0.0000 0.0000 0.0000
0.2539 0.7649 0.0093
0.7351 0.2461 0.4907
0.2649 0.7538 0.5093
0.7462 0.2351 0.9907
0.7434 0.7561 0.9720
0.7439 0.7566 0.5280
0.2561 0.2434 0.4720
0.2566 0.2439 0.0280


Li4Dy3AlSe8, relaxed, DFT PBE; crystal system = trigonal; DFT total energy = -76.915 eV per cell
1.0
7.9858 0.0000 0.0000
0.0000 7.9540 -0.0308
-3.9929 -3.9897 5.6482
Li Dy Al Se
4 3 1 8
direct
0.5000 0.0000 0.0000
0.5000 0.0000 0.5000
0.0000 0.0000 0.0000
0.0000 0.0000 0.5000
0.5000 0.5000 0.0000
0.5000 0.5000 0.5000
0.0000 0.5000 0.5000
0.0000 0.5000 0.0000
0.2369 0.7440 0.0073
0.2373 0.7444 0.4747
0.2483 0.2450 0.4966
0.7704 0.7440 0.0073
0.2296 0.2560 0.9927
0.7517 0.7550 0.5034
0.7627 0.2556 0.5253
0.7631 0.2560 0.9927


LiSmDyAl, relaxed, DFT PBE; crystal system = cubic; D(E_F) = 4.18 states/eV per cell; DFT total energy = -15.789 eV per cell; formation energy = -203 meV per atom
1.0
-1.5829 -1.2480 4.7956
1.0236 -4.7207 1.9308
3.4799 -0.5460 3.8280
Li Al Sm Dy
1 1 1 1
direct
0.0000 0.0000 0.0000
0.5000 0.5000 0.5000
0.2500 0.2500 0.2500
0.7500 0.7500 0.7500


LiTbDyAl, relaxed, DFT PBE; crystal system = cubic; D(E_F) = 3.90 states/eV per cell; DFT total energy = -15.727 eV per cell; formation energy = -210 meV per atom
1.0
-0.2721 2.3153 4.6048
-3.7594 -1.2604 3.3042
1.1138 -2.6463 4.2889
Li Tb Al Dy
1 1 1 1
direct
0.0000 0.0000 0.0000
0.7500 0.7500 0.7500
0.5000 0.5000 0.5000
0.2500 0.2500 0.2500


Question: Which of these has the highest DFT total energy?
Answer: LiTbDyAl